# 1
An optimized crystal structure of CaY2Mo, computed with PBE.

Cell: 3.284 3.284 10.685 Å, 90.00 90.00 106.14°
Atoms (fractional coordinates):
1 Ca 0.000 0.000 0.000
2 Y 0.000 0.000 0.588
3 Y 0.500 0.500 0.299
4 Mo 0.500 0.500 0.782

Crystal system   orthorhombic
Energy above the lowest structure with this stoichiometry   0.2441 eV/atom
Energy of formation   194 kJ/mol of formula units


# 2
An optimized crystal structure of Ce6Te5C, computed with PBE.

Cell: 7.589 7.589 7.511 Å, 99.66 99.66 119.58°
Atoms (fractional coordinates):
1 Ce 0.069 0.356 0.714
2 Ce 0.208 0.208 0.267
3 Ce 0.356 0.069 0.714
4 Ce 0.644 0.931 0.286
5 Ce 0.792 0.792 0.733
6 Ce 0.931 0.644 0.286
7 Te 0.185 0.815 0.000
8 Te 0.337 0.663 0.500
9 Te 0.500 0.500 0.000
10 Te 0.663 0.337 0.500
11 Te 0.815 0.185 0.000
12 C 0.000 0.000 0.500

Crystal system   monoclinic


# 3
An optimized crystal structure of Sr2ZrGaTc, computed with PBE.

Cell: 5.768 5.768 4.746 Å, 90.00 90.00 90.00°
Atoms (fractional coordinates):
1 Sr 0.000 0.500 0.000
2 Sr 0.500 0.000 0.000
3 Zr 0.000 0.000 0.500
4 Ga 0.500 0.500 0.000
5 Tc 0.500 0.500 0.500

Crystal system   tetragonal
Energy of formation   460 kJ/mol of formula units


Which E belongs to each record? In order, -5.9369 -6.1687 -4.1069 eV/atom.